VASP calculation (GGA-PBE) on a relaxed Na2TiV2Se6 crystal.

Output
DOS(E_F) = 5.355 states/eV/cell
calculated total energy = -5.47 eV per atom
calculated volume = 22.6 A^3/atom
density = 4.472 g cm⁻³
crystal system = monoclinic

Unit cell a=6.330 b=10.869 c=7.474 alpha=90.00 beta=104.75 gamma=90.00
Space group C2/m (No. 12)
Inequivalent atoms, fractional coordinates:
1 Na 0.000 0.175 0.000 [4 per cell]
2 Ti 0.000 0.000 0.500 [2 per cell]
3 V 0.000 0.350 0.500 [4 per cell]
4 Se 0.225 0.171 0.699 [8 per cell]
5 Se 0.231 0.500 0.718 [4 per cell]

***

VASP calculation (GGA-PBE) on a relaxed Na2Ti2VSe6 crystal.

Output
DOS(E_F) = 7.684 states/eV/cell
calculated total energy = -5.48 eV per atom
calculated volume = 22.7 A^3/atom
density = 4.441 g cm⁻³
crystal system = monoclinic

Unit cell a=6.306 b=10.921 c=7.539 alpha=90.00 beta=106.30 gamma=90.00
Space group C2/m (No. 12)
Inequivalent atoms, fractional coordinates:
1 Na 0.000 0.167 0.000 [4 per cell]
2 Ti 0.000 0.332 0.500 [4 per cell]
3 V 0.000 0.000 0.500 [2 per cell]
4 Se 0.235 0.500 0.708 [4 per cell]
5 Se 0.238 0.165 0.709 [8 per cell]

***

VASP calculation (GGA-PBE) on a relaxed Na2YTiSe4 crystal.

Output
DOS(E_F) = 4.042 states/eV/cell
calculated total energy = -5.27 eV per atom
calculated volume = 23.9 A^3/atom
density = 4.327 g cm⁻³
crystal system = monoclinic

Unit cell a=6.886 b=3.958 c=7.384 alpha=90.00 beta=108.07 gamma=90.00
Space group P2/m (No. 10)
Inequivalent atoms, fractional coordinates:
1 Na 0.000 0.000 0.000 [1 per cell]
2 Na 0.500 0.500 0.000 [1 per cell]
3 Y 0.000 0.500 0.500 [1 per cell]
4 Ti 0.500 0.000 0.500 [1 per cell]
5 Se 0.260 0.000 0.726 [2 per cell]
6 Se 0.279 0.500 0.284 [2 per cell]

***

Which value of density does entry 1 give? 4.472 g cm⁻³

***

What did the first record say?
VASP calculation (GGA-PBE) on a relaxed Na2TiV2Se6 crystal.

Output
DOS(E_F) = 5.355 states/eV/cell
calculated total energy = -5.47 eV per atom
calculated volume = 22.6 A^3/atom
density = 4.472 g cm⁻³
crystal system = monoclinic

Unit cell a=6.330 b=10.869 c=7.474 alpha=90.00 beta=104.75 gamma=90.00
Space group C2/m (No. 12)
Inequivalent atoms, fractional coordinates:
1 Na 0.000 0.175 0.000 [4 per cell]
2 Ti 0.000 0.000 0.500 [2 per cell]
3 V 0.000 0.350 0.500 [4 per cell]
4 Se 0.225 0.171 0.699 [8 per cell]
5 Se 0.231 0.500 0.718 [4 per cell]

***

The highest DOS(E_F) belongs to which entry? Na2Ti2VSe6

***

Look up the calculated volume of the first one. 22.6 A^3/atom